# 1
VASP calculation (PBE) on crystalline KCdSe2N at its relaxed geometry.

a b c (Å): 5.5043 5.5043 4.4423
angles (deg): 90.00 90.00 90.00
Closest atoms and distances in Å follow each position.
Space group P4/mmm (No. 123)
Asymmetric unit:
K 0.0000 0.0000 0.0000 x1  8 Se 3.54, 4 N 3.89
Cd 0.5000 0.5000 0.5000 x1  2 N 2.22
Se 0.0000 0.5000 0.5000 x2  2 Cd 2.75
N 0.5000 0.5000 0.0000 x1  2 Cd 2.22

Computed properties:
Raw total energy ... -14.83 eV for the cell shown
Total magnetization ... 3.29 Bohr magnetons per cell
Density ... 3.99 g/cm3
Uncorrected formation energy ... 0.50 eV per atom

***

# 2
VASP calculation (PBE) on crystalline TbPmEr14 at its relaxed geometry.

a b c (Å): 11.3642 7.0752 12.2416
angles (deg): 90.00 90.00 90.00
Closest atoms and distances in Å follow each position.
Space group Amm2 (No. 38)
Asymmetric unit:
Tb 0.0000 0.0000 0.0000 x2  10 Er 3.51-3.54, 2 Pm 3.54
Pm 0.0000 0.0000 0.4999 x2  10 Er 3.52-3.54, 2 Tb 3.54
Er 0.0000 0.2500 0.2501 x4  8 Er 3.50-3.54, 2 Pm 3.53-3.54, 2 Tb 3.53-3.54
Er 0.2507 0.0000 0.1672 x4  11 Er 3.49-3.54, 1 Tb 3.51
Er 0.2517 0.0000 0.6673 x4  11 Er 3.48-3.54, 1 Pm 3.52
Er 0.2524 0.2503 0.4169 x8  10 Er 3.47-3.54, 1 Tb 3.52, 1 Pm 3.52
Er 0.5000 0.0000 0.3339 x2  12 Er 3.48-3.54
Er 0.5000 0.0000 0.8339 x2  12 Er 3.47-3.54
Er 0.5000 0.2499 0.0842 x4  12 Er 3.48-3.54

Computed properties:
ΔH_f (0 K) ... 8 meV per atom
Raw total energy ... -146.28 eV for the cell shown
Total magnetization ... 0.00 Bohr magnetons per cell
Density ... 8.93 g/cm3